# PtWSeBr2 | Alexandria via LeMat-Bulk | PBE-GGA | optimized geometry
data_PtWSeBr2
_chemical_formula_sum 'Pt1 W1 Se1 Br2'
_cell_length_a 5.007
_cell_length_b 5.007
_cell_length_c 4.890
_cell_angle_alpha 90.00
_cell_angle_beta 90.00
_cell_angle_gamma 90.00
_symmetry_space_group_name_H-M 'P 4/m m m'
_symmetry_Int_Tables_number 123
_symmetry_space_group_name_Hall '-P 4 2'
loop_
_atom_site_label
_atom_site_type_symbol
_atom_site_fract_x
_atom_site_fract_y
_atom_site_fract_z
Pt1 Pt 0.000 0.000 0.000
W1 W 0.500 0.500 0.500
Se1 Se 0.500 0.500 0.000
Br1 Br 0.000 0.500 0.500
# * DOS(E_F): 1.15 states/eV/atom
# * total magnetic moment: 0.00 μB per cell
# * formation energy from raw total energies: 0.933 eV per atom

=====

# TbPm3Fe | Alexandria via LeMat-Bulk | PBE-GGA | optimized geometry
data_TbPm3Fe
_chemical_formula_sum 'Tb1 Pm3 Fe1'
_cell_length_a 5.369
_cell_length_b 5.369
_cell_length_c 5.369
_cell_angle_alpha 90.00
_cell_angle_beta 90.00
_cell_angle_gamma 90.00
_symmetry_space_group_name_H-M 'P m -3 m'
_symmetry_Int_Tables_number 221
_symmetry_space_group_name_Hall '-P 4 2 3'
loop_
_atom_site_label
_atom_site_type_symbol
_atom_site_fract_x
_atom_site_fract_y
_atom_site_fract_z
Tb1 Tb 0.000 0.000 0.000
Pm1 Pm 0.000 0.500 0.500
Fe1 Fe 0.500 0.500 0.500
# * DOS(E_F): 2.00 states/eV/atom
# * total magnetic moment: 0.02 μB per cell
# * DFT formation energy: 0.200 eV per atom

=====

- Which value of total magnetic moment does entry 1 give?
  0.00 μB per cell

=====

- Which of these has the lowest DOS(E_F)?
  PtWSeBr2

=====

- What is the total magnetic moment in the first record?
  0.00 μB per cell

=====

- Which formula does entry 1 have?
  PtWSeBr2